First-principles (GGA-PBE) data for Ac4Sm2Dy3 after structural relaxation, as listed in Alexandria via LeMat-Bulk.

## Properties
SG = C2/m (12)
E_form = 0.056 eV/atom

abc: 5.391 6.429 11.255
angles: 74.81 90.00 65.24
Sites, in units of the cell vectors:
1 Ac 0.334 0.332 0.112
2 Ac 0.994 0.011 0.666
3 Ac 0.666 0.668 0.888
4 Ac 0.006 0.989 0.334
5 Dy 0.335 0.329 0.450
6 Dy 0.000 0.000 0.000
7 Dy 0.665 0.671 0.550
8 Sm 0.328 0.343 0.772
9 Sm 0.672 0.657 0.228

First-principles (GGA-PBE) data for Ho4Se3O after structural relaxation, as listed in Alexandria via LeMat-Bulk.

## Properties
SG = Pmn2_1 (31)
uncorrected formation energy = -1815.1 meV/atom

abc: 5.850 7.581 9.273
angles: 90.00 90.00 90.00
Sites, in units of the cell vectors:
1 Ho 0.085 0.866 0.000
2 Ho 0.081 0.865 0.500
3 Ho 0.070 0.264 0.209
4 Ho 0.070 0.264 0.791
5 Ho 0.581 0.135 0.000
6 Ho 0.570 0.736 0.709
7 Ho 0.570 0.736 0.291
8 Ho 0.585 0.134 0.500
9 Se 0.579 0.356 0.755
10 Se 0.100 0.232 0.500
11 Se 0.579 0.356 0.245
12 Se 0.079 0.644 0.745
13 Se 0.600 0.768 0.000
14 Se 0.079 0.644 0.255
15 O 0.453 0.849 0.500
16 O 0.953 0.151 0.000

First-principles (GGA-PBE) data for Ce2Al3GeAu4 after structural relaxation, as listed in Alexandria via LeMat-Bulk.

## Properties
SG = P-4m2 (115)
E_form = -0.627 eV/atom

abc: 4.456 4.456 10.395
angles: 90.00 90.00 90.00
Sites, in units of the cell vectors:
1 Ce 0.500 0.000 0.251
2 Ce 0.000 0.500 0.749
3 Au 0.500 0.000 0.632
4 Au 0.000 0.000 0.000
5 Au 0.500 0.500 0.000
6 Au 0.000 0.500 0.368
7 Al 0.500 0.000 0.872
8 Al 0.000 0.500 0.128
9 Al 0.000 0.000 0.500
10 Ge 0.500 0.500 0.500

First-principles (GGA-PBE) data for KMn2VTe after structural relaxation, as listed in Alexandria via LeMat-Bulk.

## Properties
SG = P4/mmm (123)
uncorrected formation energy = 2098.4 meV/atom

abc: 5.005 5.009 5.005
angles: 90.00 90.00 90.00
Sites, in units of the cell vectors:
1 Te 0.500 0.500 0.500
2 Mn 0.500 0.000 0.000
3 Mn 0.000 0.000 0.500
4 V 0.000 0.500 0.000
5 K 0.000 0.000 0.000

First-principles (GGA-PBE) data for SmHgI3 after structural relaxation, as listed in Alexandria via LeMat-Bulk.

## Properties
SG = Pm-3m (221)
ΔE to the lowest computed polymorph = 104 meV per atom
uncorrected formation energy = -1003.9 meV/atom

abc: 6.155 6.155 6.155
angles: 90.00 90.00 90.00
Sites, in units of the cell vectors:
1 Sm 0.000 0.000 0.000
2 I 0.000 0.500 0.000
3 I 0.500 0.000 0.000
4 I 0.000 0.000 0.500
5 Hg 0.500 0.500 0.500

First-principles (GGA-PBE) data for Sc2SiAu2 after structural relaxation, as listed in Alexandria via LeMat-Bulk.

## Properties
SG = P4/mbm (127)
ΔE to the lowest computed polymorph = 0 meV per atom
uncorrected formation energy = -574.0 meV/atom

abc: 7.335 7.335 3.606
angles: 90.00 90.00 90.00
Sites, in units of the cell vectors:
1 Sc 0.832 0.332 0.500
2 Sc 0.332 0.168 0.500
3 Sc 0.168 0.668 0.500
4 Sc 0.668 0.832 0.500
5 Si 0.000 0.000 0.000
6 Si 0.500 0.500 0.000
7 Au 0.366 0.866 0.000
8 Au 0.634 0.134 0.000
9 Au 0.134 0.366 0.000
10 Au 0.866 0.634 0.000

First-principles (GGA-PBE) data for MnAlCd2 after structural relaxation, as listed in Alexandria via LeMat-Bulk.

## Properties
SG = R-3m (166)
E_form = 0.226 eV/atom

abc: 9.709 9.709 9.709
angles: 18.00 18.00 18.00
Sites, in units of the cell vectors:
1 Mn 0.250 0.250 0.250
2 Cd 0.998 0.998 0.998
3 Cd 0.502 0.502 0.502
4 Al 0.750 0.750 0.750

First-principles (GGA-PBE) data for SrSmInSn after structural relaxation, as listed in Alexandria via LeMat-Bulk.

## Properties
SG = F-43m (216)
E_form = -0.476 eV/atom

abc: 5.567 5.567 5.567
angles: 60.00 60.00 60.00
Sites, in units of the cell vectors:
1 Sm 0.000 0.000 0.000
2 Sr 0.500 0.500 0.500
3 In 0.750 0.750 0.750
4 Sn 0.250 0.250 0.250